[1]
## AlSb2TePb (GGA-PBE)

Data for a relaxed structure of AlSb2TePb.

Computed properties:
- DOS(E_F) (states/eV/f.u.) = 3.5
- ΔE to the lowest computed polymorph (meV/atom) = 0.0
- raw formation energy (eV/atom) = 0.278
- crystal system = tetragonal
- calculated volume (Å³ per cell) = 153.7

Unit cell a=5.307 b=5.307 c=5.456 alpha=90.00 beta=90.00 gamma=90.00
Space group P4/mmm (No. 123)
Symmetry-distinct sites (fractional):
Al 0.000 0.000 0.000 [1 per cell]
Sb 0.000 0.500 0.000 [2 per cell]
Te 0.000 0.000 0.500 [1 per cell]
Pb 0.500 0.500 0.500 [1 per cell]


[2]
## Mg2SF2 (GGA-PBE)

Data for a relaxed structure of Mg2SF2.

Computed properties:
- DOS(E_F) (states/eV/f.u.) = 0.0
- raw formation energy (eV/atom) = -2.611
- crystal system = orthorhombic
- calculated volume (Å³ per cell) = 282.5

Unit cell a=6.742 b=3.489 c=12.013 alpha=90.00 beta=90.00 gamma=90.00
Space group Pnma (No. 62)
Symmetry-distinct sites (fractional):
Mg 0.026 0.250 0.129 [4 per cell]
Mg 0.103 0.750 0.385 [4 per cell]
S 0.244 0.250 0.535 [4 per cell]
F 0.082 0.250 0.293 [4 per cell]
F 0.118 0.250 0.829 [4 per cell]


[3]
## ZnO (GGA-PBE)

Data for a relaxed structure of ZnO.

Computed properties:
- raw formation energy (eV/atom) = -1.261
- crystal system = hexagonal
- calculated volume (Å³ per cell) = 245.6

Unit cell a=3.0521 b=3.0521 c=30.4399 alpha=90.00 beta=90.00 gamma=120.00
Space group P6_3/mmc (No. 194)
Symmetry-distinct sites (fractional):
Zn 0.0000 0.0000 0.0000 [2 per cell]
Zn 0.0000 0.0000 0.2500 [2 per cell]
Zn 0.3333 0.6667 0.0826 [4 per cell]
Zn 0.3333 0.6667 0.6652 [4 per cell]
O 0.0000 0.0000 0.1239 [4 per cell]
O 0.3333 0.6667 0.2063 [4 per cell]
O 0.3333 0.6667 0.5413 [4 per cell]


[4]
## Tb2NdSb (GGA-PBE)

Data for a relaxed structure of Tb2NdSb.

Computed properties:
- DOS(E_F) (states/eV/f.u.) = 4.0
- ΔE to the lowest computed polymorph (meV/atom) = 56.7
- raw formation energy (eV/atom) = -0.510
- crystal system = tetragonal
- calculated volume (Å³ per cell) = 113.9

Unit cell a=4.865 b=4.865 c=4.810 alpha=90.00 beta=90.00 gamma=90.00
Space group P4/mmm (No. 123)
Symmetry-distinct sites (fractional):
Tb 0.000 0.500 0.000 [2 per cell]
Nd 0.000 0.000 0.500 [1 per cell]
Sb 0.500 0.500 0.500 [1 per cell]